Density functional theory data (PBE) for an optimized crystal structure of CsP3Cl.

Results
Its total energy is -2.703 eV per atom.

Structure (CIF):
```
data_CsP3Cl
_chemical_formula_sum 'Cs1 P3 Cl1'
_space_group_name_H-M_alt 'P m -3 m'
_space_group_IT_number 221
_space_group_name_Hall '-P 4 2 3'
_cell_length_a 5.068
_cell_length_b 5.068
_cell_length_c 5.068
_cell_angle_alpha 90.00
_cell_angle_beta 90.00
_cell_angle_gamma 90.00
loop_
_atom_site_label
_atom_site_fract_x
_atom_site_fract_y
_atom_site_fract_z
Cs1 0.000 0.000 0.000
P1 0.000 0.500 0.500
Cl1 0.500 0.500 0.500
```

Density functional theory data (PBE) for an optimized crystal structure of Pm2ErGa2.

Results
Its total energy is -4.392 eV per atom. The formation energy is -0.369 eV/atom. The value obtained for the energy above the most stable polymorph in this dataset is 151 meV per atom.

Structure (CIF):
```
data_Pm2ErGa2
_chemical_formula_sum 'Pm4 Er2 Ga4'
_space_group_name_H-M_alt 'P 1 21/m 1'
_space_group_IT_number 11
_cell_length_a 6.125
_cell_length_b 3.714
_cell_length_c 12.175
_cell_angle_alpha 90.00
_cell_angle_beta 92.80
_cell_angle_gamma 90.00
loop_
_space_group_symop_operation_xyz
'x,y,z'
'-x,-y,-z'
'-x,y+1/2,-z'
'x,-y+1/2,z'
loop_
_atom_site_label
_atom_site_fract_x
_atom_site_fract_y
_atom_site_fract_z
Pm1 0.085 0.250 0.359
Pm2 0.256 0.250 0.070
Er1 0.423 0.250 0.708
Ga1 0.236 0.750 0.869
Ga2 0.347 0.750 0.514
```

Density functional theory data (PBE) for an optimized crystal structure of NaNbInW2.

Results
Its total energy is -5.600 eV per atom. The formation energy is 2.407 eV/atom.

Structure (CIF):
```
data_NaNbInW2
_chemical_formula_sum 'Na1 Nb1 In1 W2'
_space_group_name_H-M_alt 'P 4/m m m'
_space_group_IT_number 123
_space_group_name_Hall '-P 4 2'
_cell_length_a 4.635
_cell_length_b 4.635
_cell_length_c 4.567
_cell_angle_alpha 90.00
_cell_angle_beta 90.00
_cell_angle_gamma 90.00
loop_
_atom_site_label
_atom_site_fract_x
_atom_site_fract_y
_atom_site_fract_z
Na1 0.000 0.000 0.000
Nb1 0.500 0.500 0.500
In1 0.000 0.000 0.500
W1 0.000 0.500 0.000
```